The following is a GGA-PBE calculation of a relaxed LaCu crystal, from the Alexandria database.

abc: 3.690 4.629 10.961
angles: 90.00 90.00 90.00
Space group Imma (No. 74)
Asymmetric unit:
La  0.000  0.250  0.101 [4 per cell]
Cu  0.000  0.250  0.672 [4 per cell]

Summary:
VASP energy, eV/atom: -4.59